# KRePt2 PBE relaxed
data_KRePt2
_cell_length_a 10.5202
_cell_length_b 10.5202
_cell_length_c 10.5202
_cell_angle_alpha 15.40
_cell_angle_beta 15.40
_cell_angle_gamma 15.40
_symmetry_space_group_name_H-M 'P 1'
_symmetry_Int_Tables_number 1
loop_
_symmetry_equiv_pos_as_xyz
'x,y,z'
loop_
_atom_site_label
_atom_site_type_symbol
_atom_site_fract_x
_atom_site_fract_y
_atom_site_fract_z
K1 K 0.0000 0.0000 0.0000
Re1 Re 0.7660 0.7660 0.7660
Pt1 Pt 0.2450 0.2450 0.2450
Pt2 Pt 0.5016 0.5016 0.5016
# - E above lowest polymorph (kJ per mole of atoms) = 31.4
# - SG = R3m (160)
# - formation enthalpy at 0 K (eV per formula unit) = 1.8

# KRe2Pt PBE relaxed
data_KRe2Pt
_cell_length_a 4.5899
_cell_length_b 4.5899
_cell_length_c 4.5899
_cell_angle_alpha 60.00
_cell_angle_beta 60.00
_cell_angle_gamma 60.00
_symmetry_space_group_name_H-M 'P 1'
_symmetry_Int_Tables_number 1
loop_
_symmetry_equiv_pos_as_xyz
'x,y,z'
loop_
_atom_site_label
_atom_site_type_symbol
_atom_site_fract_x
_atom_site_fract_y
_atom_site_fract_z
K1 K 0.0000 0.0000 0.0000
Re1 Re 0.2500 0.2500 0.2500
Re2 Re 0.5000 0.5000 0.5000
Pt1 Pt 0.7500 0.7500 0.7500
# - E above lowest polymorph (kJ per mole of atoms) = 72.4
# - SG = F-43m (216)
# - formation enthalpy at 0 K (eV per formula unit) = 5.0

# KRePtS2 PBE relaxed
data_KRePtS2
_cell_length_a 5.1017
_cell_length_b 5.1017
_cell_length_c 5.6379
_cell_angle_alpha 90.00
_cell_angle_beta 90.00
_cell_angle_gamma 90.00
_symmetry_space_group_name_H-M 'P 1'
_symmetry_Int_Tables_number 1
loop_
_symmetry_equiv_pos_as_xyz
'x,y,z'
loop_
_atom_site_label
_atom_site_type_symbol
_atom_site_fract_x
_atom_site_fract_y
_atom_site_fract_z
K1 K 0.0000 0.0000 0.0000
Re1 Re 0.0000 0.0000 0.5000
Pt1 Pt 0.5000 0.5000 0.5000
S1 S 0.0000 0.5000 0.0000
S2 S 0.5000 0.0000 0.0000
# - E above lowest polymorph (kJ per mole of atoms) = 173.8
# - SG = P4/mmm (123)
# - formation energy (no corrections) (eV/atom) = 2.68

# KRePtS2 PBE relaxed
data_KRePtS2
_cell_length_a 4.9473
_cell_length_b 4.9473
_cell_length_c 5.1064
_cell_angle_alpha 90.00
_cell_angle_beta 90.00
_cell_angle_gamma 90.00
_symmetry_space_group_name_H-M 'P 1'
_symmetry_Int_Tables_number 1
loop_
_symmetry_equiv_pos_as_xyz
'x,y,z'
loop_
_atom_site_label
_atom_site_type_symbol
_atom_site_fract_x
_atom_site_fract_y
_atom_site_fract_z
K1 K 0.0000 0.0000 0.0000
Re1 Re 0.5000 0.5000 0.0000
Pt1 Pt 0.5000 0.5000 0.5000
S1 S 0.0000 0.5000 0.5000
S2 S 0.5000 0.0000 0.5000
# - E above lowest polymorph (kJ per mole of atoms) = 0.0
# - SG = P4/mmm (123)
# - formation energy (no corrections) (eV/atom) = 0.88

# KTlRe2Pt PBE relaxed
data_KTlRe2Pt
_cell_length_a 4.8596
_cell_length_b 4.8596
_cell_length_c 5.8108
_cell_angle_alpha 90.00
_cell_angle_beta 90.00
_cell_angle_gamma 90.00
_symmetry_space_group_name_H-M 'P 1'
_symmetry_Int_Tables_number 1
loop_
_symmetry_equiv_pos_as_xyz
'x,y,z'
loop_
_atom_site_label
_atom_site_type_symbol
_atom_site_fract_x
_atom_site_fract_y
_atom_site_fract_z
K1 K 0.0000 0.0000 0.0000
Tl1 Tl 0.5000 0.5000 0.0000
Re1 Re 0.0000 0.5000 0.5000
Re2 Re 0.5000 0.0000 0.5000
Pt1 Pt 0.0000 0.0000 0.5000
# - SG = P4/mmm (123)
# - formation enthalpy at 0 K (eV per formula unit) = 8.4

# KPtRh2 PBE relaxed
data_KPtRh2
_cell_length_a 2.7476
_cell_length_b 4.6200
_cell_length_c 6.3036
_cell_angle_alpha 90.00
_cell_angle_beta 99.29
_cell_angle_gamma 90.00
_symmetry_space_group_name_H-M 'P 1'
_symmetry_Int_Tables_number 1
loop_
_symmetry_equiv_pos_as_xyz
'x,y,z'
loop_
_atom_site_label
_atom_site_type_symbol
_atom_site_fract_x
_atom_site_fract_y
_atom_site_fract_z
K1 K 0.0000 0.0000 0.0000
Pt1 Pt 0.5000 0.0000 0.5000
Rh1 Rh 0.3030 0.5000 0.6755
Rh2 Rh 0.6970 0.5000 0.3245
# - E above lowest polymorph (kJ per mole of atoms) = 17.8
# - SG = P2/m (10)
# - formation enthalpy at 0 K (eV per formula unit) = 1.9

# KPtRh PBE relaxed
data_KPtRh
_cell_length_a 7.5008
_cell_length_b 7.5008
_cell_length_c 7.5008
_cell_angle_alpha 157.99
_cell_angle_beta 157.99
_cell_angle_gamma 31.33
_symmetry_space_group_name_H-M 'P 1'
_symmetry_Int_Tables_number 1
loop_
_symmetry_equiv_pos_as_xyz
'x,y,z'
loop_
_atom_site_label
_atom_site_type_symbol
_atom_site_fract_x
_atom_site_fract_y
_atom_site_fract_z
K1 K 0.0000 0.0000 0.0000
Pt1 Pt 0.3126 0.3126 0.0000
Rh1 Rh 0.6903 0.6903 0.0000
# - E above lowest polymorph (kJ per mole of atoms) = 25.3
# - SG = I4mm (107)
# - formation enthalpy at 0 K (eV per formula unit) = 1.2

# K2PtRh PBE relaxed
data_K2PtRh
_cell_length_a 5.8636
_cell_length_b 5.8636
_cell_length_c 5.8636
_cell_angle_alpha 134.81
_cell_angle_beta 122.90
_cell_angle_gamma 75.64
_symmetry_space_group_name_H-M 'P 1'
_symmetry_Int_Tables_number 1
loop_
_symmetry_equiv_pos_as_xyz
'x,y,z'
loop_
_atom_site_label
_atom_site_type_symbol
_atom_site_fract_x
_atom_site_fract_y
_atom_site_fract_z
K1 K 0.0000 0.0000 0.0000
K2 K 0.6960 0.1960 0.5000
Pt1 Pt 0.2986 0.7986 0.5000
Rh1 Rh 0.3952 0.3952 0.0000
# - E above lowest polymorph (kJ per mole of atoms) = 9.4
# - SG = Imm2 (44)
# - formation enthalpy at 0 K (eV per formula unit) = 1.1

# K2PtRh PBE relaxed
data_K2PtRh
_cell_length_a 2.9527
_cell_length_b 4.1548
_cell_length_c 9.7434
_cell_angle_alpha 90.00
_cell_angle_beta 90.00
_cell_angle_gamma 90.00
_symmetry_space_group_name_H-M 'P 1'
_symmetry_Int_Tables_number 1
loop_
_symmetry_equiv_pos_as_xyz
'x,y,z'
loop_
_atom_site_label
_atom_site_type_symbol
_atom_site_fract_x
_atom_site_fract_y
_atom_site_fract_z
K1 K 0.0000 0.0000 0.0000
K2 K 0.5000 0.5000 0.4420
Pt1 Pt 0.0000 0.0000 0.6848
Rh1 Rh 0.5000 0.5000 0.7523
# - E above lowest polymorph (kJ per mole of atoms) = 0.0
# - SG = Pmm2 (25)
# - formation enthalpy at 0 K (eV per formula unit) = 0.8

# KPt2Rh PBE relaxed
data_KPt2Rh
_cell_length_a 5.1945
_cell_length_b 5.1945
_cell_length_c 2.7575
_cell_angle_alpha 90.00
_cell_angle_beta 90.00
_cell_angle_gamma 111.58
_symmetry_space_group_name_H-M 'P 1'
_symmetry_Int_Tables_number 1
loop_
_symmetry_equiv_pos_as_xyz
'x,y,z'
loop_
_atom_site_label
_atom_site_type_symbol
_atom_site_fract_x
_atom_site_fract_y
_atom_site_fract_z
K1 K 0.0000 0.0000 0.0000
Pt1 Pt 0.0000 0.5000 0.5000
Pt2 Pt 0.5000 0.0000 0.5000
Rh1 Rh 0.5000 0.5000 0.0000
# - SG = Cmmm (65)
# - formation enthalpy at 0 K (eV per formula unit) = 1.4

# KPtRh2 PBE relaxed
data_KPtRh2
_cell_length_a 4.6562
_cell_length_b 4.6562
_cell_length_c 4.6562
_cell_angle_alpha 60.00
_cell_angle_beta 60.00
_cell_angle_gamma 60.00
_symmetry_space_group_name_H-M 'P 1'
_symmetry_Int_Tables_number 1
loop_
_symmetry_equiv_pos_as_xyz
'x,y,z'
loop_
_atom_site_label
_atom_site_type_symbol
_atom_site_fract_x
_atom_site_fract_y
_atom_site_fract_z
K1 K 0.0000 0.0000 0.0000
Pt1 Pt 0.7500 0.7500 0.7500
Rh1 Rh 0.2500 0.2500 0.2500
Rh2 Rh 0.5000 0.5000 0.5000
# - E above lowest polymorph (kJ per mole of atoms) = 50.1
# - SG = F-43m (216)
# - formation enthalpy at 0 K (eV per formula unit) = 3.2

# KPt2Rh PBE relaxed
data_KPt2Rh
_cell_length_a 5.0773
_cell_length_b 5.0773
_cell_length_c 5.0773
_cell_angle_alpha 131.72
_cell_angle_beta 131.72
_cell_angle_gamma 70.68
_symmetry_space_group_name_H-M 'P 1'
_symmetry_Int_Tables_number 1
loop_
_symmetry_equiv_pos_as_xyz
'x,y,z'
loop_
_atom_site_label
_atom_site_type_symbol
_atom_site_fract_x
_atom_site_fract_y
_atom_site_fract_z
K1 K 0.0000 0.0000 0.0000
Pt1 Pt 0.2500 0.7500 0.5000
Pt2 Pt 0.7500 0.2500 0.5000
Rh1 Rh 0.5000 0.5000 0.0000
# - SG = I4/mmm (139)
# - formation enthalpy at 0 K (eV per formula unit) = 2.5

> What is the formula in the twelfth record?

KPt2Rh